[1]
A relaxed PPbBr crystal, computed with PBE-GGA.

Properties
The value obtained for the energy above the most stable polymorph in this dataset is 42.9 kJ per mole of atoms. Its crystal system is cubic. The uncorrected formation energy is 0.82 eV per formula unit.

Cell: 6.934 6.934 6.934 Å, 90.00 90.00 90.00°
Space group F-43m (No. 216)
One atom of each set of equivalent atoms:
1 P 0.000 0.000 0.000 (multiplicity 4)
2 Pb 0.250 0.250 0.250 (multiplicity 4)
3 Br 0.250 0.250 0.750 (multiplicity 4)

[2]
A relaxed RbNaCaSn crystal, computed with PBE-GGA.

Properties
Its crystal system is cubic. The value obtained for the energy of formation is -0.204 eV per atom.

Cell: 8.069 8.069 8.069 Å, 90.00 90.00 90.00°
Space group F-43m (No. 216)
One atom of each set of equivalent atoms:
1 Rb 0.000 0.000 0.000 (multiplicity 4)
2 Na 0.250 0.250 0.250 (multiplicity 4)
3 Ca 0.250 0.250 0.750 (multiplicity 4)
4 Sn 0.000 0.000 0.500 (multiplicity 4)

The records above yield spin magnetization values of 0.000 0.000 μB per atom, respectively.
The records above yield final energy values of -3.32 -2.28 eV/atom, respectively.